VASP calculation (GGA-PBE) on a relaxed structure of MgBe2Al.

- Energy above the most stable polymorph in this dataset: 290 meV per atom
- Calculated formation energy: 0.338 eV per atom
- Space-group type: Imm2

```
data_MgBe2Al
_chemical_formula_sum 'Mg1 Be2 Al1'
_cell_length_a 5.1809
_cell_length_b 5.1809
_cell_length_c 5.1809
_cell_angle_alpha 149.64
_cell_angle_beta 128.60
_cell_angle_gamma 60.87
_space_group_name_H-M_alt 'P 1'
_space_group_IT_number 1
loop_
_space_group_symop_operation_xyz
'x,y,z'
loop_
_atom_site_label
_atom_site_type_symbol
_atom_site_fract_x
_atom_site_fract_y
_atom_site_fract_z
Be1 Be 0.9797 0.9797 0.0000
Be2 Be 0.7816 0.2816 0.5000
Al1 Al 0.2246 0.7246 0.5000
Mg1 Mg 0.5141 0.5141 0.0000
```